The following is a GGA-PBE calculation of CsScAl2Pt after structural relaxation, from Alexandria.

Calculated values
E_form in kcal/mol of atoms: 46.5
Calculated volume in A^3/atom: 29.79
SG: P4/mmm
Uncorrected energy in eV per atom: -2.1275
Size of the total moment in Bohr magnetons per cell: 0.000

The structure in POSCAR format:
```
CsScAl2Pt
1.0
5.389 0.000 0.000
0.000 5.389 0.000
0.000 0.000 5.129
Cs Sc Al Pt
1 1 2 1
direct
0.000 0.000 0.000 Cs
0.000 0.000 0.500 Sc
0.000 0.500 0.000 Al
0.500 0.000 0.000 Al
0.500 0.500 0.500 Pt
```


The following is a GGA-PBE calculation of Tm3Ga2Hg2 after structural relaxation, from Alexandria.

Calculated values
E_form in kcal/mol of atoms: -11.6
Calculated volume in A^3/atom: 22.74
SG: Cmmm
Uncorrected energy in eV per atom: -3.3686
Size of the total moment in Bohr magnetons per cell: 0.000

The structure in POSCAR format:
```
Tm3Ga2Hg2
1.0
2.097 -10.858 0.000
2.097 10.858 0.000
0.000 0.000 3.495
Tm Ga Hg
3 2 2
direct
0.000 0.000 0.000 Tm
0.164 0.836 0.000 Tm
0.836 0.164 0.000 Tm
0.283 0.717 0.500 Ga
0.717 0.283 0.500 Ga
0.421 0.579 0.500 Hg
0.579 0.421 0.500 Hg
```


The following is a GGA-PBE calculation of Dy4Ho3In after structural relaxation, from Alexandria.

Calculated values
E_form in kcal/mol of atoms: -2.5
Calculated volume in A^3/atom: 29.96
SG: Pmn2_1
Uncorrected energy in eV per atom: -4.4668
Size of the total moment in Bohr magnetons per cell: 0.000

The structure in POSCAR format:
```
Dy4Ho3In
1.0
11.150 0.000 0.000
0.000 7.002 0.000
0.000 0.000 6.140
Dy Ho In
8 6 2
direct
0.000 0.128 0.000 Dy
0.000 0.868 0.469 Dy
0.238 0.873 0.824 Dy
0.262 0.127 0.324 Dy
0.500 0.132 0.969 Dy
0.500 0.872 0.500 Dy
0.738 0.127 0.324 Dy
0.762 0.873 0.824 Dy
0.000 0.371 0.472 Ho
0.243 0.384 0.804 Ho
0.257 0.616 0.304 Ho
0.500 0.629 0.972 Ho
0.743 0.616 0.304 Ho
0.757 0.384 0.804 Ho
0.000 0.621 0.983 In
0.500 0.379 0.483 In
```


The following is a GGA-PBE calculation of Ba4AsSeI2 after structural relaxation, from Alexandria.

Calculated values
Raw formation energy in eV/f.u.: -12.8
Calculated volume in A^3/atom: 41.36
SG: P2/m
Uncorrected energy in eV per atom: -3.9701
Size of the total moment in Bohr magnetons per cell: 0.000

The structure in POSCAR format:
```
Ba4AsSeI2
1.0
8.335 0.000 0.000
0.000 4.822 0.000
-2.781 0.000 8.234
Ba As Se I
4 1 1 2
direct
0.232 0.000 0.210 Ba
0.257 0.500 0.789 Ba
0.743 0.500 0.211 Ba
0.768 0.000 0.790 Ba
0.000 0.500 0.000 As
0.500 0.000 0.000 Se
0.000 0.000 0.500 I
0.500 0.500 0.500 I
```


The following is a GGA-PBE calculation of Ce2H2Os after structural relaxation, from Alexandria.

Calculated values
Calculated volume in A^3/atom: 16.47
SG: Fddd
Uncorrected energy in eV per atom: -6.2132
Size of the total moment in Bohr magnetons per cell: 0.000

The structure in POSCAR format:
```
Ce2H2Os
1.0
0.000 4.766 4.821
3.583 0.000 4.821
3.583 4.766 0.000
Ce H Os
4 4 2
direct
0.097 0.653 0.097 Ce
0.347 0.903 0.347 Ce
0.653 0.097 0.653 Ce
0.903 0.347 0.903 Ce
0.017 0.017 0.233 H
0.233 0.233 0.017 H
0.767 0.767 0.983 H
0.983 0.983 0.767 H
0.375 0.375 0.375 Os
0.625 0.625 0.625 Os
```


The following is a GGA-PBE calculation of Th3Te5 after structural relaxation, from Alexandria.

Calculated values
Raw formation energy in eV/f.u.: -8.9
Calculated volume in A^3/atom: 31.87
SG: P6_3/mcm
Uncorrected energy in eV per atom: -5.8535
Size of the total moment in Bohr magnetons per cell: 3.445

The structure in POSCAR format:
```
Th3Te5
1.0
9.093 0.000 0.000
-4.546 7.874 0.000
0.000 0.000 7.121
Th Te
6 10
direct
0.000 0.399 0.250 Th
0.000 0.601 0.750 Th
0.399 0.000 0.250 Th
0.399 0.399 0.750 Th
0.601 0.000 0.750 Th
0.601 0.601 0.250 Th
0.000 0.251 0.750 Te
0.000 0.749 0.250 Te
0.251 0.000 0.750 Te
0.251 0.251 0.250 Te
0.333 0.667 0.000 Te
0.333 0.667 0.500 Te
0.667 0.333 0.000 Te
0.667 0.333 0.500 Te
0.749 0.000 0.250 Te
0.749 0.749 0.750 Te
```


What did the third record say?
The following is a GGA-PBE calculation of Dy4Ho3In after structural relaxation, from Alexandria.

Calculated values
E_form in kcal/mol of atoms: -2.5
Calculated volume in A^3/atom: 29.96
SG: Pmn2_1
Uncorrected energy in eV per atom: -4.4668
Size of the total moment in Bohr magnetons per cell: 0.000

The structure in POSCAR format:
```
Dy4Ho3In
1.0
11.150 0.000 0.000
0.000 7.002 0.000
0.000 0.000 6.140
Dy Ho In
8 6 2
direct
0.000 0.128 0.000 Dy
0.000 0.868 0.469 Dy
0.238 0.873 0.824 Dy
0.262 0.127 0.324 Dy
0.500 0.132 0.969 Dy
0.500 0.872 0.500 Dy
0.738 0.127 0.324 Dy
0.762 0.873 0.824 Dy
0.000 0.371 0.472 Ho
0.243 0.384 0.804 Ho
0.257 0.616 0.304 Ho
0.500 0.629 0.972 Ho
0.743 0.616 0.304 Ho
0.757 0.384 0.804 Ho
0.000 0.621 0.983 In
0.500 0.379 0.483 In
```


Question: Look up the uncorrected energy of the fourth one.
Answer: -3.9701 eV per atom